Record 1
# K2AgW PBE relaxed
data_K2AgW
_chemical_formula_sum 'K2 Ag1 W1'
_cell_length_a 2.8189
_cell_length_b 4.4101
_cell_length_c 10.3140
_cell_angle_alpha 90.00
_cell_angle_beta 90.00
_cell_angle_gamma 90.00
_symmetry_space_group_name_H-M 'P m m 2'
_symmetry_Int_Tables_number 25
loop_
_symmetry_equiv_pos_as_xyz
'x,y,z'
'-x,-y,z'
'-x,y,z'
'x,-y,z'
loop_
_atom_site_label
_atom_site_fract_x
_atom_site_fract_y
_atom_site_fract_z
K1 0.0000 0.0000 0.0000
K2 0.5000 0.5000 0.4142
Ag1 0.5000 0.5000 0.7589
W1 0.0000 0.0000 0.6706
# Calculated formation energy, eV/atom: 1.0219
# Relative energy among the computed polymorphs, kJ per mole of atoms: 0.00

Record 2
# CuSiTe2 PBE relaxed
data_CuSiTe2
_chemical_formula_sum 'Cu2 Si2 Te4'
_cell_length_a 3.7588
_cell_length_b 8.6477
_cell_length_c 7.6127
_cell_angle_alpha 90.00
_cell_angle_beta 90.00
_cell_angle_gamma 90.00
_symmetry_space_group_name_H-M 'C m m m'
_symmetry_Int_Tables_number 65
_symmetry_space_group_name_Hall '-C 2 2'
loop_
_atom_site_label
_atom_site_fract_x
_atom_site_fract_y
_atom_site_fract_z
Cu1 0.0000 0.0000 0.0000
Si1 0.0000 0.0000 0.5000
Te1 0.0000 0.5000 0.2443
# E_form (uncorrected), eV/atom: 0.39

Record 3
# La5Ho5Sc2 PBE relaxed
data_La5Ho5Sc2
_chemical_formula_sum 'La10 Ho10 Sc4'
_cell_length_a 15.2909
_cell_length_b 4.9784
_cell_length_c 11.3805
_cell_angle_alpha 90.00
_cell_angle_beta 116.75
_cell_angle_gamma 90.00
_symmetry_space_group_name_H-M 'C 1 2/m 1'
_symmetry_Int_Tables_number 12
loop_
_symmetry_equiv_pos_as_xyz
'x,y,z'
'-x,-y,-z'
'-x,y,-z'
'x,-y,z'
'x+1/2,y+1/2,z'
'-x+1/2,-y+1/2,-z'
'-x+1/2,y+1/2,-z'
'x+1/2,-y+1/2,z'
loop_
_atom_site_label
_atom_site_fract_x
_atom_site_fract_y
_atom_site_fract_z
La1 0.0000 0.0000 0.0000
La2 0.0807 0.0000 0.7513
La3 0.1650 0.0000 0.5002
Ho1 0.0000 0.5000 0.5000
Ho2 0.1675 0.5000 0.0022
Ho3 0.2447 0.0000 0.2457
Sc1 0.0847 0.5000 0.2489
# Calculated formation energy, eV/atom: 0.0509

Record 4
# SmTm5Sb4 PBE relaxed
data_SmTm5Sb4
_chemical_formula_sum 'Sm2 Tm10 Sb8'
_cell_length_a 18.5533
_cell_length_b 4.2952
_cell_length_c 8.3661
_cell_angle_alpha 90.00
_cell_angle_beta 106.68
_cell_angle_gamma 90.00
_symmetry_space_group_name_H-M 'C 1 2/m 1'
_symmetry_Int_Tables_number 12
loop_
_symmetry_equiv_pos_as_xyz
'x,y,z'
'-x,-y,-z'
'-x,y,-z'
'x,-y,z'
'x+1/2,y+1/2,z'
'-x+1/2,-y+1/2,-z'
'-x+1/2,y+1/2,-z'
'x+1/2,-y+1/2,z'
loop_
_atom_site_label
_atom_site_fract_x
_atom_site_fract_y
_atom_site_fract_z
Sm1 0.0000 0.0000 0.0000
Tm1 0.0000 0.0000 0.5000
Tm2 0.1601 0.5000 0.8181
Tm3 0.1814 0.5000 0.3490
Sb1 0.0117 0.5000 0.2671
Sb2 0.1725 0.0000 0.0860
# E_form (uncorrected), eV/atom: -0.67

Record 5
# La4CoCl3 PBE relaxed
data_La4CoCl3
_chemical_formula_sum 'La8 Co2 Cl6'
_cell_length_a 7.5672
_cell_length_b 8.4158
_cell_length_c 7.0082
_cell_angle_alpha 90.00
_cell_angle_beta 106.63
_cell_angle_gamma 90.00
_symmetry_space_group_name_H-M 'P 1 2/c 1'
_symmetry_Int_Tables_number 13
loop_
_symmetry_equiv_pos_as_xyz
'x,y,z'
'-x,-y,-z'
'-x,y,-z+1/2'
'x,-y,z+1/2'
loop_
_atom_site_label
_atom_site_fract_x
_atom_site_fract_y
_atom_site_fract_z
La1 0.2077 0.1162 0.0219
La2 0.2238 0.3730 0.4842
Co1 0.0000 0.1284 0.2500
Cl1 0.0000 0.3682 0.7500
Cl2 0.5000 0.1335 0.7500
Cl3 0.5000 0.3729 0.2500
# E_form (uncorrected), eV/atom: -1.25

Record 6
# Hf2MnInCu PBE relaxed
data_Hf2MnInCu
_chemical_formula_sum 'Hf2 Mn1 In1 Cu1'
_cell_length_a 4.8261
_cell_length_b 4.8261
_cell_length_c 4.3673
_cell_angle_alpha 90.00
_cell_angle_beta 90.00
_cell_angle_gamma 90.00
_symmetry_space_group_name_H-M 'P 4/m m m'
_symmetry_Int_Tables_number 123
_symmetry_space_group_name_Hall '-P 4 2'
loop_
_atom_site_label
_atom_site_fract_x
_atom_site_fract_y
_atom_site_fract_z
Hf1 0.0000 0.5000 0.0000
Mn1 0.0000 0.0000 0.5000
In1 0.5000 0.5000 0.5000
Cu1 0.0000 0.0000 0.0000
# Calculated formation energy, eV/atom: 0.6466

Record 7
# TbNd3In PBE relaxed
data_TbNd3In
_chemical_formula_sum 'Tb4 Nd12 In4'
_cell_length_a 4.9172
_cell_length_b 25.8283
_cell_length_c 4.9229
_cell_angle_alpha 90.00
_cell_angle_beta 90.00
_cell_angle_gamma 90.00
_symmetry_space_group_name_H-M 'C m c m'
_symmetry_Int_Tables_number 63
_symmetry_space_group_name_Hall '-C 2c 2'
loop_
_atom_site_label
_atom_site_fract_x
_atom_site_fract_y
_atom_site_fract_z
Tb1 0.0000 0.1516 0.2500
Nd1 0.0000 0.0551 0.7500
Nd2 0.0000 0.2492 0.7500
Nd3 0.0000 0.4466 0.7500
In1 0.0000 0.3466 0.2500
# Calculated formation energy, eV/atom: -0.1905
# Relative energy among the computed polymorphs, kJ per mole of atoms: 0.00

Record 8
# Ho4TlTe3 PBE relaxed
data_Ho4TlTe3
_chemical_formula_sum 'Ho8 Tl2 Te6'
_cell_length_a 8.7836
_cell_length_b 12.3433
_cell_length_c 4.3334
_cell_angle_alpha 90.00
_cell_angle_beta 90.00
_cell_angle_gamma 90.00
_symmetry_space_group_name_H-M 'C m m m'
_symmetry_Int_Tables_number 65
_symmetry_space_group_name_Hall '-C 2 2'
loop_
_atom_site_label
_atom_site_fract_x
_atom_site_fract_y
_atom_site_fract_z
Ho1 0.0000 0.2424 0.0000
Ho2 0.2397 0.0000 0.5000
Tl1 0.0000 0.0000 0.0000
Te1 0.0000 0.5000 0.0000
Te2 0.2500 0.2500 0.5000
# E_form (uncorrected), eV/atom: -1.05
# Relative energy among the computed polymorphs, kJ per mole of atoms: 0.80

Record 9
# BeRu4Cl2 PBE relaxed
data_BeRu4Cl2
_chemical_formula_sum 'Be2 Ru8 Cl4'
_cell_length_a 4.2578
_cell_length_b 4.2578
_cell_length_c 11.9442
_cell_angle_alpha 90.00
_cell_angle_beta 90.00
_cell_angle_gamma 90.00
_symmetry_space_group_name_H-M 'I 4/m m m'
_symmetry_Int_Tables_number 139
_symmetry_space_group_name_Hall '-I 4 2'
loop_
_atom_site_label
_atom_site_fract_x
_atom_site_fract_y
_atom_site_fract_z
Be1 0.0000 0.0000 0.0000
Ru1 0.0000 0.0000 0.1937
Ru2 0.0000 0.5000 0.0000
Cl1 0.0000 0.0000 0.3825
# E_form (uncorrected), eV/atom: 1.13

Number 1: magnetic moment 0.11 μB per cell, calculated total energy -3.478 eV/atom. Number 2: magnetic moment 0.00 μB per cell, calculated total energy -3.560 eV/atom. Number 3: magnetic moment 0.00 μB per cell, calculated total energy -4.965 eV/atom. Number 4: magnetic moment 0.00 μB per cell, calculated total energy -5.023 eV/atom. Number 5: magnetic moment 0.00 μB per cell, calculated total energy -5.293 eV/atom. Number 6: magnetic moment 0.00 μB per cell, calculated total energy -6.536 eV/atom. Number 7: magnetic moment 0.00 μB per cell, calculated total energy -4.525 eV/atom. Number 8: magnetic moment 0.00 μB per cell, calculated total energy -4.810 eV/atom. Number 9: magnetic moment 7.61 μB per cell, calculated total energy -5.233 eV/atom.